Pm2YS4 PBE optimized geometry; excess energy over the best structure of this formula in the dataset = 112.2 meV per atom; E_form (uncorrected) = -1.924 eV per atom; space group = Fddd (70); ρ = 4.30 g/cm3; total magnetic moment = 0.00 Bohr magnetons per cell
1.0
-2.655 -4.831 6.083
7.258 0.763 3.759
-4.269 6.706 -2.070
Pm S Y
4 8 2
direct
0.125 0.375 0.750 Pm
0.625 0.375 0.750 Pm
0.625 0.375 0.250 Pm
0.625 0.875 0.250 Pm
0.859 0.620 0.239 S
0.870 0.609 0.739 S
0.380 0.141 0.761 S
0.380 0.619 0.239 S
0.381 0.620 0.761 S
0.391 0.130 0.261 S
0.870 0.131 0.261 S
0.869 0.130 0.739 S
0.250 0.750 0.500 Y
0.000 0.000 0.000 Y

***

CaHfTc PBE optimized geometry; excess energy over the best structure of this formula in the dataset = 90.8 meV per atom; space group = Cmcm (63); ρ = 6.85 g/cm3; total magnetic moment = 0.00 Bohr magnetons per cell; ΔH_f (0 K) = 0.01 eV per atom
1.0
-3.018 1.554 -2.492
-14.161 -14.877 7.876
-0.888 2.112 2.392
Hf Ca Tc
4 4 4
direct
0.000 0.064 0.250 Hf
0.500 0.436 0.750 Hf
0.000 0.936 0.750 Hf
0.500 0.564 0.250 Hf
0.500 0.182 0.750 Ca
0.500 0.818 0.250 Ca
0.000 0.318 0.250 Ca
0.000 0.682 0.750 Ca
0.000 0.453 0.250 Tc
0.500 0.047 0.750 Tc
0.000 0.547 0.750 Tc
0.500 0.953 0.250 Tc

***

KSb2Os PBE optimized geometry; excess energy over the best structure of this formula in the dataset = 66.6 meV per atom; E_form (uncorrected) = 0.110 eV per atom; space group = Pmmm (47); ρ = 8.09 g/cm3; total magnetic moment = 0.82 Bohr magnetons per cell
1.0
3.335 0.000 0.000
0.000 3.321 0.008
0.000 3.301 8.769
Os K Sb
1 1 2
direct
0.500 0.750 0.750 Os
0.500 0.250 0.250 K
0.000 0.434 0.566 Sb
0.000 0.066 0.934 Sb